A relaxed Ca2FePbO4 crystal. Source: Alexandria, functional PBE+U.

a = 3.4582 Å, b = 6.1448 Å, c = 11.7523 Å
α = 90.00°, β = 90.00°, γ = 106.34°
Closest atoms and distances in Å follow each position.
Fractional coordinates of all 16 atoms:
O 0.2594 0.5187 0.3797  1 Fe 2.01
O 0.0000 0.0000 0.5000  4 Ca 2.34
O 0.0000 0.0000 0.0000  4 Ca 2.34
O 0.5569 0.1138 0.2500  2 Fe 2.04
O 0.4431 0.8862 0.7500  2 Fe 2.04
O 0.2594 0.5187 0.1203  1 Fe 2.01
O 0.7406 0.4813 0.6203  1 Fe 2.01
O 0.7406 0.4813 0.8797  1 Fe 2.01
Fe 0.1488 0.2976 0.2500  4 O 2.01-2.04
Fe 0.8512 0.7024 0.7500  4 O 2.01-2.04
Ca 0.6275 0.2550 0.4595  5 O 2.31-2.51
Ca 0.3725 0.7450 0.9595  5 O 2.31-2.51
Ca 0.3725 0.7450 0.5405  5 O 2.31-2.51
Ca 0.6275 0.2550 0.0405  5 O 2.31-2.51
Pb 0.8808 0.7615 0.2500  6 O 2.70-2.71
Pb 0.1192 0.2385 0.7500  6 O 2.70-2.71

## Properties
**Size of the total moment**: 4.000 μB per formula unit
**Crystal system**: orthorhombic
**SG**: No. 63
**E**: -6.1121 eV per atom
**DOS(E_F)**: 0.000 states/eV per atom